[1]
Here is a relaxed LiVHgI6 crystal from Alexandria. Energies are from PBE-GGA.

Computed properties:
* formation energy from raw total energies: -0.470 eV per atom

Cell lengths 6.650, 7.290, 7.303 Å; angles 60.11, 89.91, 89.65 degrees
Fractional positions:
Li1 0.000 0.000 0.000
V1 0.999 0.666 0.668
Hg1 0.502 0.333 0.334
I1 0.236 0.969 0.683
I2 0.237 0.346 0.970
I3 0.237 0.682 0.348
I4 0.759 0.686 0.968
I5 0.759 0.969 0.347
I6 0.760 0.348 0.685

---

[2]
Here is a relaxed CdAg2Sn2 crystal from Alexandria. Energies are from PBE-GGA.

Computed properties:
* ΔE_f: 0.05 eV/atom

Cell lengths 5.140, 5.140, 5.911 Å; angles 101.84, 101.84, 53.14 degrees
Fractional positions:
Cd1 0.000 0.000 0.000
Ag1 0.301 0.301 0.883
Ag2 0.699 0.699 0.117
Sn1 0.337 0.337 0.398
Sn2 0.663 0.663 0.602

---

[3]
Here is a relaxed CrRe2HRh crystal from Alexandria. Energies are from PBE-GGA.

Computed properties:
* uncorrected energy: -8.97 eV per atom

Cell lengths 3.891, 3.891, 3.846 Å; angles 90.00, 90.00, 90.00 degrees
Fractional positions:
Cr1 0.000 0.000 0.000
Re1 0.000 0.500 0.500
Re2 0.500 0.000 0.500
H1 0.000 0.000 0.500
Rh1 0.500 0.500 0.000

---

[4]
Here is a relaxed Cs2CdGaP crystal from Alexandria. Energies are from PBE-GGA.

Computed properties:
* ΔE_f: 0.00 eV/atom

Cell lengths 7.090, 7.090, 4.717 Å; angles 90.00, 90.00, 90.00 degrees
Fractional positions:
Cs1 0.000 0.500 0.000
Cs2 0.500 0.000 0.000
Cd1 0.000 0.000 0.500
Ga1 0.500 0.500 0.500
P1 0.500 0.500 0.000

---

[5]
Here is a relaxed HoZn2F8 crystal from Alexandria. Energies are from PBE-GGA.

Computed properties:
* formation energy from raw total energies: -2.676 eV per atom

Cell lengths 6.478, 6.478, 6.478 Å; angles 130.21, 130.21, 73.06 degrees
Fractional positions:
Ho1 0.000 0.000 0.000
Zn1 0.250 0.750 0.500
Zn2 0.750 0.250 0.500
F1 0.039 0.576 0.865
F2 0.174 0.039 0.463
F3 0.289 0.424 0.463
F4 0.424 0.961 0.135
F5 0.576 0.711 0.537
F6 0.711 0.174 0.135
F7 0.826 0.289 0.865
F8 0.961 0.826 0.537

---

[6]
Here is a relaxed TlPdC3 crystal from Alexandria. Energies are from PBE-GGA.

Computed properties:
* ΔE_f: 3.59 eV/atom

Cell lengths 4.369, 4.369, 4.369 Å; angles 90.00, 90.00, 90.00 degrees
Fractional positions:
Tl1 0.000 0.000 0.000
Pd1 0.500 0.500 0.500
C1 0.000 0.000 0.500
C2 0.000 0.500 0.000
C3 0.500 0.000 0.000

---

[7]
Here is a relaxed Li2Mg5Sn4 crystal from Alexandria. Energies are from PBE-GGA.

Computed properties:
* ΔE_f: -0.13 eV/atom

Cell lengths 10.055, 10.055, 10.055 Å; angles 154.13, 139.81, 48.41 degrees
Fractional positions:
Li1 0.073 0.073 0.000
Li2 0.927 0.927 0.000
Mg1 0.074 0.340 0.734
Mg2 0.394 0.660 0.734
Mg3 0.500 0.000 0.500
Mg4 0.606 0.340 0.266
Mg5 0.926 0.660 0.266
Sn1 0.218 0.500 0.718
Sn2 0.222 0.222 0.000
Sn3 0.778 0.778 0.000
Sn4 0.782 0.500 0.282

---

[8]
Here is a relaxed SrPrTl crystal from Alexandria. Energies are from PBE-GGA.

Computed properties:
* ΔE_f: -0.21 eV/atom

Cell lengths 7.622, 7.622, 7.622 Å; angles 149.84, 149.84, 43.18 degrees
Fractional positions:
Sr1 0.000 0.000 0.000
Pr1 0.282 0.282 0.000
Tl1 0.656 0.656 0.000

---

[9]
Here is a relaxed RbAuI4O12 crystal from Alexandria. Energies are from PBE-GGA.

Computed properties:
* formation energy from raw total energies: -0.439 eV per atom

Cell lengths 7.569, 7.569, 8.379 Å; angles 106.69, 106.69, 45.68 degrees
Fractional positions:
Rb1 0.000 0.000 0.000
Au1 0.193 0.807 0.500
I1 0.247 0.390 0.164
I2 0.342 0.359 0.658
I3 0.610 0.753 0.836
I4 0.641 0.658 0.342
O1 0.034 0.367 0.192
O2 0.071 0.727 0.269
O3 0.077 0.695 0.602
O4 0.108 0.496 0.956
O5 0.273 0.929 0.731
O6 0.305 0.923 0.398
O7 0.480 0.213 0.462
O8 0.504 0.892 0.044
O9 0.549 0.398 0.794
O10 0.602 0.451 0.206
O11 0.633 0.966 0.808
O12 0.787 0.520 0.538

---

[10]
Here is a relaxed Eu3Th crystal from Alexandria. Energies are from PBE-GGA.

Computed properties:
* ΔE_f: 0.19 eV/atom

Cell lengths 7.229, 7.229, 7.229 Å; angles 150.36, 62.80, 126.01 degrees
Fractional positions:
Eu1 0.000 0.000 0.000
Eu2 0.089 0.331 0.758
Eu3 0.573 0.331 0.242
Th1 0.503 0.003 0.500

---

[11]
Here is a relaxed La3TbCe4S8 crystal from Alexandria. Energies are from PBE-GGA.

Computed properties:
* formation energy from raw total energies: -2.078 eV per atom

Cell lengths 8.135, 8.135, 8.135 Å; angles 59.92, 59.92, 59.92 degrees
Fractional positions:
La1 0.000 0.500 0.500
La2 0.500 0.000 0.500
La3 0.500 0.500 0.000
Tb1 0.000 0.000 0.000
Ce1 0.000 0.000 0.500
Ce2 0.000 0.500 0.000
Ce3 0.500 0.000 0.000
Ce4 0.500 0.500 0.500
S1 0.241 0.754 0.754
S2 0.246 0.246 0.759
S3 0.246 0.759 0.246
S4 0.247 0.247 0.247
S5 0.753 0.753 0.753
S6 0.754 0.241 0.754
S7 0.754 0.754 0.241
S8 0.759 0.246 0.246

---

[12]
Here is a relaxed Ac8SmY2 crystal from Alexandria. Energies are from PBE-GGA.

Computed properties:
* ΔE_f: 0.36 eV/atom

Cell lengths 9.106, 9.106, 6.247 Å; angles 99.51, 99.51, 85.12 degrees
Fractional positions:
Ac1 0.079 0.079 0.292
Ac2 0.137 0.642 0.190
Ac3 0.358 0.358 0.494
Ac4 0.358 0.863 0.810
Ac5 0.642 0.137 0.190
Ac6 0.642 0.642 0.506
Ac7 0.863 0.358 0.810
Ac8 0.921 0.921 0.708
Sm1 0.500 0.500 0.000
Y1 0.237 0.237 0.917
Y2 0.763 0.763 0.083

---

[13]
Here is a relaxed KCo2Si2 crystal from Alexandria. Energies are from PBE-GGA.

Computed properties:
* formation energy from raw total energies: 0.098 eV per atom

Cell lengths 6.910, 6.910, 6.910 Å; angles 148.33, 148.33, 45.39 degrees
Fractional positions:
K1 0.000 0.000 0.000
Co1 0.349 0.349 0.000
Co2 0.651 0.651 0.000
Si1 0.250 0.750 0.500
Si2 0.750 0.250 0.500

---

[14]
Here is a relaxed InFe2Pb crystal from Alexandria. Energies are from PBE-GGA.

Computed properties:
* ΔE_f: 0.38 eV/atom

Cell lengths 6.339, 6.339, 4.460 Å; angles 110.37, 110.37, 27.86 degrees
Fractional positions:
In1 0.000 0.000 0.000
Fe1 0.499 0.499 0.499
Fe2 0.840 0.840 0.341
Pb1 0.227 0.227 0.728

---

[15]
Here is a relaxed MnZn3Fe crystal from Alexandria. Energies are from PBE-GGA.

Computed properties:
* ΔE_f: 0.71 eV/atom

Cell lengths 4.530, 4.530, 4.530 Å; angles 90.00, 90.00, 90.00 degrees
Fractional positions:
Mn1 0.000 0.000 0.000
Zn1 0.000 0.500 0.500
Zn2 0.500 0.000 0.500
Zn3 0.500 0.500 0.000
Fe1 0.500 0.500 0.500

---

[16]
Here is a relaxed Dy3Er3Sc crystal from Alexandria. Energies are from PBE-GGA.

Computed properties:
* ΔE_f: 0.16 eV/atom

Cell lengths 14.172, 14.172, 14.172 Å; angles 24.85, 24.85, 24.85 degrees
Fractional positions:
Dy1 0.132 0.463 0.801
Dy2 0.199 0.868 0.537
Dy3 0.463 0.801 0.132
Dy4 0.537 0.199 0.868
Dy5 0.801 0.132 0.463
Dy6 0.868 0.537 0.199
Er1 0.063 0.729 0.398
Er2 0.271 0.602 0.937
Er3 0.398 0.063 0.729
Er4 0.602 0.937 0.271
Er5 0.729 0.398 0.063
Er6 0.937 0.271 0.602
Sc1 0.333 0.333 0.333
Sc2 0.667 0.667 0.667

---

[17]
Here is a relaxed Sr2ScBe crystal from Alexandria. Energies are from PBE-GGA.

Computed properties:
* ΔE_f: 0.57 eV/atom

Cell lengths 5.403, 5.403, 4.261 Å; angles 90.00, 90.00, 90.00 degrees
Fractional positions:
Sr1 0.000 0.500 0.000
Sr2 0.500 0.000 0.000
Sc1 0.000 0.000 0.500
Be1 0.500 0.500 0.500

---

[18]
Here is a relaxed ScTl2Cd crystal from Alexandria. Energies are from PBE-GGA.

Computed properties:
* ΔE_f: -0.04 eV/atom

Cell lengths 5.710, 5.710, 5.710 Å; angles 132.92, 132.92, 68.79 degrees
Fractional positions:
Sc1 0.000 0.000 0.000
Tl1 0.250 0.750 0.500
Tl2 0.750 0.250 0.500
Cd1 0.500 0.500 0.000

---

[19]
Here is a relaxed CeCuPd6 crystal from Alexandria. Energies are from PBE-GGA.

Computed properties:
* ΔE_f: -0.47 eV/atom

Cell lengths 5.690, 5.690, 4.042 Å; angles 90.00, 90.00, 90.08 degrees
Fractional positions:
Ce1 0.000 0.000 0.000
Cu1 0.500 0.500 0.000
Pd1 0.000 0.500 0.000
Pd2 0.258 0.258 0.500
Pd3 0.258 0.742 0.500
Pd4 0.500 0.000 0.000
Pd5 0.742 0.258 0.500
Pd6 0.742 0.742 0.500

---

[20]
Here is a relaxed Tb2CeNd6Tm crystal from Alexandria. Energies are from PBE-GGA.

Computed properties:
* ΔE_f: 0.24 eV/atom

Cell lengths 6.684, 6.684, 8.862 Å; angles 101.95, 101.95, 63.85 degrees
Fractional positions:
Tb1 0.090 0.090 0.167
Tb2 0.910 0.910 0.833
Ce1 0.500 0.500 0.000
Nd1 0.060 0.593 0.204
Nd2 0.376 0.376 0.583
Nd3 0.407 0.940 0.796
Nd4 0.593 0.060 0.204
Nd5 0.624 0.624 0.417
Nd6 0.940 0.407 0.796
Tm1 0.000 0.000 0.500